# BeTlOs2 | Alexandria | PBE-GGA | optimized geometry
# spin magnetization = 0.00 Bohr magnetons per cell
# distance to the lowest polymorph of the same formula = 393 meV/atom
# mass density = 13.506 g/cm3
# energy of formation from the pure elements = 20.04 kcal/mol of atoms
# total energy = -6.269 eV per atom
# density of states at the Fermi level = 5.15 states/eV/cell
data_BeTlOs2
_chemical_formula_sum 'Be4 Tl4 Os8'
_space_group_name_H-M_alt 'I -4 2 d'
_space_group_IT_number 122
_space_group_name_Hall 'I -4 2bw'
_cell_length_a 4.0995
_cell_length_b 4.0995
_cell_length_c 17.3782
_cell_angle_alpha 90.00
_cell_angle_beta 90.00
_cell_angle_gamma 90.00
loop_
_atom_site_label
_atom_site_type_symbol
_atom_site_fract_x
_atom_site_fract_y
_atom_site_fract_z
Be1 Be 0.0000 0.0000 0.0000
Tl1 Tl 0.0000 0.0000 0.5000
Os1 Os 0.1424 0.2500 0.1250

# Be2TlOs | Alexandria | PBE-GGA | optimized geometry
# spin magnetization = 0.00 Bohr magnetons per cell
# distance to the lowest polymorph of the same formula = 0 meV/atom
# mass density = 12.356 g/cm3
# energy of formation from the pure elements = 4.39 kcal/mol of atoms
# total energy = -5.072 eV per atom
# density of states at the Fermi level = 0.73 states/eV/cell
data_Be2TlOs
_chemical_formula_sum 'Be2 Tl1 Os1'
_space_group_name_H-M_alt 'P 4/m m m'
_space_group_IT_number 123
_space_group_name_Hall '-P 4 2'
_cell_length_a 3.0692
_cell_length_b 3.0692
_cell_length_c 5.8868
_cell_angle_alpha 90.00
_cell_angle_beta 90.00
_cell_angle_gamma 90.00
loop_
_atom_site_label
_atom_site_type_symbol
_atom_site_fract_x
_atom_site_fract_y
_atom_site_fract_z
Be1 Be 0.0000 0.0000 0.1741
Tl1 Tl 0.5000 0.5000 0.5000
Os1 Os 0.5000 0.5000 0.0000

# BeTlOs2 | Alexandria | PBE-GGA | optimized geometry
# spin magnetization = 0.02 Bohr magnetons per cell
# distance to the lowest polymorph of the same formula = 502 meV/atom
# mass density = 16.086 g/cm3
# energy of formation from the pure elements = 22.54 kcal/mol of atoms
# total energy = -6.160 eV per atom
# density of states at the Fermi level = 9.55 states/eV/cell
data_BeTlOs2
_chemical_formula_sum 'Be2 Tl2 Os4'
_space_group_name_H-M_alt 'I 4/m m m'
_space_group_IT_number 139
_space_group_name_Hall '-I 4 2'
_cell_length_a 3.8871
_cell_length_b 3.8871
_cell_length_c 8.1144
_cell_angle_alpha 90.00
_cell_angle_beta 90.00
_cell_angle_gamma 90.00
loop_
_atom_site_label
_atom_site_type_symbol
_atom_site_fract_x
_atom_site_fract_y
_atom_site_fract_z
Be1 Be 0.0000 0.0000 0.0000
Tl1 Tl 0.0000 0.0000 0.5000
Os1 Os 0.0000 0.5000 0.2500

# Be2TlOs | Alexandria | PBE-GGA | optimized geometry
# spin magnetization = 0.00 Bohr magnetons per cell
# distance to the lowest polymorph of the same formula = 684 meV/atom
# mass density = 11.853 g/cm3
# energy of formation from the pure elements = 20.15 kcal/mol of atoms
# total energy = -4.388 eV per atom
# density of states at the Fermi level = 8.77 states/eV/cell
data_Be2TlOs
_chemical_formula_sum 'Be8 Tl4 Os4'
_space_group_name_H-M_alt 'F -4 3 m'
_space_group_IT_number 216
_space_group_name_Hall 'F -4 2 3'
_cell_length_a 6.1379
_cell_length_b 6.1379
_cell_length_c 6.1379
_cell_angle_alpha 90.00
_cell_angle_beta 90.00
_cell_angle_gamma 90.00
loop_
_atom_site_label
_atom_site_type_symbol
_atom_site_fract_x
_atom_site_fract_y
_atom_site_fract_z
Be1 Be 0.0000 0.0000 0.0000
Be2 Be 0.2500 0.2500 0.2500
Tl1 Tl 0.2500 0.2500 0.7500
Os1 Os 0.0000 0.0000 0.5000

# BeTlOs2 | Alexandria | PBE-GGA | optimized geometry
# spin magnetization = 0.00 Bohr magnetons per cell
# distance to the lowest polymorph of the same formula = 122 meV/atom
# mass density = 16.737 g/cm3
# energy of formation from the pure elements = 13.80 kcal/mol of atoms
# total energy = -6.540 eV per atom
# density of states at the Fermi level = 6.38 states/eV/cell
data_BeTlOs2
_chemical_formula_sum 'Be2 Tl2 Os4'
_space_group_name_H-M_alt 'I m m m'
_space_group_IT_number 71
_space_group_name_Hall '-I 2 2'
_cell_length_a 2.8968
_cell_length_b 4.4314
_cell_length_c 9.1798
_cell_angle_alpha 90.00
_cell_angle_beta 90.00
_cell_angle_gamma 90.00
loop_
_atom_site_label
_atom_site_type_symbol
_atom_site_fract_x
_atom_site_fract_y
_atom_site_fract_z
Be1 Be 0.0000 0.0000 0.0000
Tl1 Tl 0.0000 0.0000 0.5000
Os1 Os 0.0000 0.5000 0.2919

# Be2TlOs | Alexandria | PBE-GGA | optimized geometry
# spin magnetization = 0.00 Bohr magnetons per cell
# distance to the lowest polymorph of the same formula = 251 meV/atom
# mass density = 12.102 g/cm3
# energy of formation from the pure elements = 10.18 kcal/mol of atoms
# total energy = -4.821 eV per atom
# density of states at the Fermi level = 2.11 states/eV/cell
data_Be2TlOs
_chemical_formula_sum 'Be2 Tl1 Os1'
_space_group_name_H-M_alt 'P 4 m m'
_space_group_IT_number 99
_space_group_name_Hall 'P 4 -2'
_cell_length_a 3.0505
_cell_length_b 3.0505
_cell_length_c 6.0844
_cell_angle_alpha 90.00
_cell_angle_beta 90.00
_cell_angle_gamma 90.00
loop_
_atom_site_label
_atom_site_type_symbol
_atom_site_fract_x
_atom_site_fract_y
_atom_site_fract_z
Be1 Be 0.0000 0.0000 0.0000
Be2 Be 0.5000 0.5000 0.1952
Tl1 Tl 0.5000 0.5000 0.6978
Os1 Os 0.0000 0.0000 0.3534

# Be2TlOs | Alexandria | PBE-GGA | optimized geometry
# spin magnetization = 0.00 Bohr magnetons per cell
# distance to the lowest polymorph of the same formula = 397 meV/atom
# mass density = 12.923 g/cm3
# energy of formation from the pure elements = 13.53 kcal/mol of atoms
# total energy = -4.675 eV per atom
# density of states at the Fermi level = 6.01 states/eV/cell
data_Be2TlOs
_chemical_formula_sum 'Be8 Tl4 Os4'
_space_group_name_H-M_alt 'F m -3 m'
_space_group_IT_number 225
_space_group_name_Hall '-F 4 2 3'
_cell_length_a 5.9636
_cell_length_b 5.9636
_cell_length_c 5.9636
_cell_angle_alpha 90.00
_cell_angle_beta 90.00
_cell_angle_gamma 90.00
loop_
_atom_site_label
_atom_site_type_symbol
_atom_site_fract_x
_atom_site_fract_y
_atom_site_fract_z
Be1 Be 0.2500 0.2500 0.2500
Tl1 Tl 0.0000 0.0000 0.0000
Os1 Os 0.0000 0.0000 0.5000

# BeTlOs3 | Alexandria | PBE-GGA | optimized geometry
# spin magnetization = 4.90 Bohr magnetons per cell
# distance to the lowest polymorph of the same formula = 2499 meV/atom
# mass density = 10.772 g/cm3
# energy of formation from the pure elements = 81.35 kcal/mol of atoms
# total energy = -4.429 eV per atom
# density of states at the Fermi level = 4.60 states/eV/cell
data_BeTlOs3
_chemical_formula_sum 'Be1 Tl1 Os3'
_space_group_name_H-M_alt 'P m -3 m'
_space_group_IT_number 221
_space_group_name_Hall '-P 4 2 3'
_cell_length_a 4.9442
_cell_length_b 4.9442
_cell_length_c 4.9442
_cell_angle_alpha 90.00
_cell_angle_beta 90.00
_cell_angle_gamma 90.00
loop_
_atom_site_label
_atom_site_type_symbol
_atom_site_fract_x
_atom_site_fract_y
_atom_site_fract_z
Be1 Be 0.0000 0.0000 0.0000
Tl1 Tl 0.5000 0.5000 0.5000
Os1 Os 0.0000 0.5000 0.5000

> Which of these has the highest spin magnetization?

BeTlOs3